DFT (PBE) results for a relaxed structure of CrCd2Pb.

Calculated values
Its formation energy from the elements is 124.6 kJ/mol of formula units.

Geometry as CIF:
```
data_CrCd2Pb
_cell_length_a 4.360
_cell_length_b 4.360
_cell_length_c 4.701
_cell_angle_alpha 90.00
_cell_angle_beta 90.00
_cell_angle_gamma 90.00
_symmetry_space_group_name_H-M 'P 4/m m m'
_symmetry_Int_Tables_number 123
_symmetry_space_group_name_Hall '-P 4 2'
loop_
_atom_site_label
_atom_site_type_symbol
_atom_site_fract_x
_atom_site_fract_y
_atom_site_fract_z
Cr1 Cr 0.000 0.000 0.000
Cd1 Cd 0.000 0.500 0.500
Pb1 Pb 0.500 0.500 0.000
```

---

DFT (PBE) results for a relaxed structure of CrCd2Pb.

Calculated values
Its formation energy from the elements is 146.2 kJ/mol of formula units.

Geometry as CIF:
```
data_CrCd2Pb
_cell_length_a 3.3160
_cell_length_b 3.3160
_cell_length_c 29.6753
_cell_angle_alpha 90.00
_cell_angle_beta 90.00
_cell_angle_gamma 120.00
_symmetry_space_group_name_H-M 'R 3 m'
_symmetry_Int_Tables_number 160
_symmetry_space_group_name_Hall 'R 3 -2"'
loop_
_atom_site_label
_atom_site_type_symbol
_atom_site_fract_x
_atom_site_fract_y
_atom_site_fract_z
Cr1 Cr 0.0000 0.0000 0.0000
Cd1 Cd 0.0000 0.0000 0.2606
Cd2 Cd 0.0000 0.0000 0.5099
Pb1 Pb 0.0000 0.0000 0.7474
```

---

DFT (PBE) results for a relaxed structure of CrCd2Pb.

Calculated values
Its formation energy from the elements is 135.1 kJ/mol of formula units.

Geometry as CIF:
```
data_CrCd2Pb
_cell_length_a 3.340
_cell_length_b 4.859
_cell_length_c 5.718
_cell_angle_alpha 90.00
_cell_angle_beta 90.06
_cell_angle_gamma 90.00
_symmetry_space_group_name_H-M 'P 1 m 1'
_symmetry_Int_Tables_number 6
loop_
_symmetry_equiv_pos_as_xyz
'x,y,z'
'x,-y,z'
loop_
_atom_site_label
_atom_site_type_symbol
_atom_site_fract_x
_atom_site_fract_y
_atom_site_fract_z
Cr1 Cr 0.000 0.000 0.000
Cd1 Cd 0.498 0.000 0.554
Cd2 Cd 0.499 0.500 0.854
Pb1 Pb 0.999 0.500 0.329
```

---

DFT (PBE) results for a relaxed structure of CrCd2Pb.

Calculated values
Its formation energy from the elements is 132.3 kJ/mol of formula units.

Geometry as CIF:
```
data_CrCd2Pb
_cell_length_a 10.828
_cell_length_b 3.441
_cell_length_c 5.433
_cell_angle_alpha 90.00
_cell_angle_beta 114.44
_cell_angle_gamma 90.00
_symmetry_space_group_name_H-M 'C 1 m 1'
_symmetry_Int_Tables_number 8
loop_
_symmetry_equiv_pos_as_xyz
'x,y,z'
'x,-y,z'
'x+1/2,y+1/2,z'
'x+1/2,-y+1/2,z'
loop_
_atom_site_label
_atom_site_type_symbol
_atom_site_fract_x
_atom_site_fract_y
_atom_site_fract_z
Cr1 Cr 0.000 0.000 0.000
Cd1 Cd 0.224 0.500 0.362
Cd2 Cd 0.481 0.000 0.505
Pb1 Pb 0.255 0.000 0.887
```

---

DFT (PBE) results for a relaxed structure of CrCd2Pb.

Calculated values
Its formation energy from the elements is 121.6 kJ/mol of formula units.

Geometry as CIF:
```
data_CrCd2Pb
_cell_length_a 3.350
_cell_length_b 3.350
_cell_length_c 8.195
_cell_angle_alpha 90.00
_cell_angle_beta 90.00
_cell_angle_gamma 90.00
_symmetry_space_group_name_H-M 'P 4 m m'
_symmetry_Int_Tables_number 99
loop_
_symmetry_equiv_pos_as_xyz
'x,y,z'
'-y,x,z'
'-x,-y,z'
'y,-x,z'
'-x,y,z'
'y,x,z'
'x,-y,z'
'-y,-x,z'
loop_
_atom_site_label
_atom_site_type_symbol
_atom_site_fract_x
_atom_site_fract_y
_atom_site_fract_z
Cr1 Cr 0.000 0.000 0.000
Cd1 Cd 0.000 0.000 0.546
Cd2 Cd 0.500 0.500 0.792
Pb1 Pb 0.500 0.500 0.242
```

---

DFT (PBE) results for a relaxed structure of CrCd2Pb.

Calculated values
Its formation energy from the elements is 134.7 kJ/mol of formula units.

Geometry as CIF:
```
data_CrCd2Pb
_cell_length_a 3.2762
_cell_length_b 3.2762
_cell_length_c 30.6400
_cell_angle_alpha 90.00
_cell_angle_beta 90.00
_cell_angle_gamma 120.00
_symmetry_space_group_name_H-M 'R -3 m'
_symmetry_Int_Tables_number 166
_symmetry_space_group_name_Hall '-R 3 2"'
loop_
_atom_site_label
_atom_site_type_symbol
_atom_site_fract_x
_atom_site_fract_y
_atom_site_fract_z
Cr1 Cr 0.0000 0.0000 0.0000
Cd1 Cd 0.0000 0.0000 0.2612
Pb1 Pb 0.0000 0.0000 0.5000
```

---

DFT (PBE) results for a relaxed structure of Cr4CdPb.

Calculated values
Its formation energy from the elements is 370.1 kJ/mol of formula units.

Geometry as CIF:
```
data_Cr4CdPb
_cell_length_a 7.146
_cell_length_b 7.146
_cell_length_c 7.146
_cell_angle_alpha 90.00
_cell_angle_beta 90.00
_cell_angle_gamma 90.00
_symmetry_space_group_name_H-M 'F -4 3 m'
_symmetry_Int_Tables_number 216
_symmetry_space_group_name_Hall 'F -4 2 3'
loop_
_atom_site_label
_atom_site_type_symbol
_atom_site_fract_x
_atom_site_fract_y
_atom_site_fract_z
Cr1 Cr 0.121 0.121 0.379
Cd1 Cd 0.250 0.250 0.750
Pb1 Pb 0.000 0.000 0.000
```

---

DFT (PBE) results for a relaxed structure of CrCd2Pb.

Calculated values
Its formation energy from the elements is 126.9 kJ/mol of formula units.

Geometry as CIF:
```
data_CrCd2Pb
_cell_length_a 3.490
_cell_length_b 3.917
_cell_length_c 6.688
_cell_angle_alpha 90.00
_cell_angle_beta 90.00
_cell_angle_gamma 90.00
_symmetry_space_group_name_H-M 'P m m 2'
_symmetry_Int_Tables_number 25
loop_
_symmetry_equiv_pos_as_xyz
'x,y,z'
'-x,-y,z'
'-x,y,z'
'x,-y,z'
loop_
_atom_site_label
_atom_site_type_symbol
_atom_site_fract_x
_atom_site_fract_y
_atom_site_fract_z
Cr1 Cr 0.000 0.000 0.000
Cd1 Cd 0.000 0.000 0.544
Cd2 Cd 0.500 0.500 0.777
Pb1 Pb 0.500 0.500 0.245
```

---

DFT (PBE) results for a relaxed structure of CrCdPtPb2.

Calculated values
Its formation energy from the elements is 273.6 kJ/mol of formula units.

Geometry as CIF:
```
data_CrCdPtPb2
_cell_length_a 5.248
_cell_length_b 5.248
_cell_length_c 4.729
_cell_angle_alpha 90.00
_cell_angle_beta 90.00
_cell_angle_gamma 90.00
_symmetry_space_group_name_H-M 'P 4/m m m'
_symmetry_Int_Tables_number 123
_symmetry_space_group_name_Hall '-P 4 2'
loop_
_atom_site_label
_atom_site_type_symbol
_atom_site_fract_x
_atom_site_fract_y
_atom_site_fract_z
Cr1 Cr 0.000 0.000 0.000
Cd1 Cd 0.500 0.500 0.500
Pt1 Pt 0.000 0.000 0.500
Pb1 Pb 0.000 0.500 0.000
```

---

DFT (PBE) results for a relaxed structure of CrCdPb2Se.

Calculated values
The calculation puts the formation energy without anion corrections at 0.676 eV/atom.

Geometry as CIF:
```
data_CrCdPb2Se
_cell_length_a 5.840
_cell_length_b 5.840
_cell_length_c 5.163
_cell_angle_alpha 90.00
_cell_angle_beta 90.00
_cell_angle_gamma 90.00
_symmetry_space_group_name_H-M 'P 4/m m m'
_symmetry_Int_Tables_number 123
_symmetry_space_group_name_Hall '-P 4 2'
loop_
_atom_site_label
_atom_site_type_symbol
_atom_site_fract_x
_atom_site_fract_y
_atom_site_fract_z
Cr1 Cr 0.000 0.000 0.000
Cd1 Cd 0.500 0.500 0.000
Pb1 Pb 0.000 0.500 0.500
Se1 Se 0.500 0.500 0.500
```

---

DFT (PBE) results for a relaxed structure of CrCd2SnPb.

Calculated values
Its formation energy from the elements is 276.0 kJ/mol of formula units.

Geometry as CIF:
```
data_CrCd2SnPb
_cell_length_a 5.270
_cell_length_b 5.270
_cell_length_c 5.207
_cell_angle_alpha 90.00
_cell_angle_beta 90.00
_cell_angle_gamma 90.00
_symmetry_space_group_name_H-M 'P 4/m m m'
_symmetry_Int_Tables_number 123
_symmetry_space_group_name_Hall '-P 4 2'
loop_
_atom_site_label
_atom_site_type_symbol
_atom_site_fract_x
_atom_site_fract_y
_atom_site_fract_z
Cr1 Cr 0.000 0.000 0.000
Cd1 Cd 0.000 0.500 0.000
Sn1 Sn 0.500 0.500 0.500
Pb1 Pb 0.000 0.000 0.500
```

---

DFT (PBE) results for a relaxed structure of Cr2CdTcPb.

Calculated values
Its formation energy from the elements is 807.3 kJ/mol of formula units.

Geometry as CIF:
```
data_Cr2CdTcPb
_cell_length_a 5.192
_cell_length_b 5.192
_cell_length_c 5.204
_cell_angle_alpha 90.00
_cell_angle_beta 90.00
_cell_angle_gamma 90.00
_symmetry_space_group_name_H-M 'P 4/m m m'
_symmetry_Int_Tables_number 123
_symmetry_space_group_name_Hall '-P 4 2'
loop_
_atom_site_label
_atom_site_type_symbol
_atom_site_fract_x
_atom_site_fract_y
_atom_site_fract_z
Cr1 Cr 0.000 0.500 0.000
Cd1 Cd 0.000 0.000 0.500
Tc1 Tc 0.500 0.500 0.500
Pb1 Pb 0.500 0.500 0.000
```